Compound: ZnMo
Source: Alexandria via LeMat-Bulk
Functional: PBE
Structure: optimized geometry

```
4
Lattice="2.604 0.000 0.000 0.000 4.666 0.000 0.000 0.000 5.049" Properties=species:S:1:pos:R:3 pbc="T T T"
Zn 0.651 1.166 0.468
Zn 1.953 3.499 4.582
Mo 0.651 3.499 2.031
Mo 1.953 1.166 3.018
```

Output
Energy above the most stable polymorph in this dataset: 166.1 meV per atom
Spin magnetization: 0.0 μB/f.u.


Compound: Ca2MnCr
Source: Alexandria via LeMat-Bulk
Functional: PBE
Structure: optimized geometry

```
16
Lattice="8.050 0.000 0.000 0.000 8.050 0.000 0.000 0.000 5.794" Properties=species:S:1:pos:R:3 pbc="T T T"
Ca 1.789 2.013 0.724
Ca 2.013 5.814 2.173
Ca 2.013 6.262 5.070
Ca 2.236 2.013 3.621
Ca 5.814 6.038 3.621
Ca 6.038 1.789 5.070
Ca 6.038 2.236 2.173
Ca 6.262 6.038 0.724
Mn 0.000 0.000 0.000
Mn 0.000 4.025 1.449
Mn 4.025 0.000 4.346
Mn 4.025 4.025 2.897
Cr 0.000 0.000 2.897
Cr 0.000 4.025 4.346
Cr 4.025 0.000 1.449
Cr 4.025 4.025 0.000
```

Output
Energy above the most stable polymorph in this dataset: 901.9 meV per atom
Spin magnetization: 4.4 μB/f.u.


Compound: Ba12Na6Rh
Source: Alexandria via LeMat-Bulk
Functional: PBE
Structure: optimized geometry

```
19
Lattice="8.584 0.000 0.000 1.979 10.056 0.000 1.538 2.110 11.919" Properties=species:S:1:pos:R:3 pbc="T T T"
Ba 1.002 2.748 4.583
Ba 2.863 2.957 8.562
Ba 2.739 5.522 1.628
Ba 4.957 9.143 3.645
Ba 5.168 6.759 9.406
Ba 7.028 10.143 11.277
Ba 5.073 2.023 0.641
Ba 6.933 5.407 2.512
Ba 7.143 3.023 8.274
Ba 9.362 6.644 10.290
Ba 9.238 9.209 3.357
Ba 11.099 9.418 7.336
Na 0.899 1.558 0.699
Na 3.723 5.821 5.660
Na 5.144 2.481 4.804
Na 6.956 9.685 7.115
Na 8.378 6.345 6.258
Na 11.202 10.608 11.219
Rh 5.281 5.028 0.000
```

Output
Spin magnetization: 0.0 μB/f.u.


Compound: Re3Se
Source: Alexandria via LeMat-Bulk
Functional: PBE
Structure: optimized geometry

```
4
Lattice="2.907 0.000 0.000 -1.454 2.518 0.000 0.000 0.000 8.352" Properties=species:S:1:pos:R:3 pbc="T T T"
Re 0.000 0.000 0.000
Re 0.000 1.679 2.137
Re 0.000 1.679 6.214
Se 0.000 0.000 4.176
```

Output
Energy above the most stable polymorph in this dataset: 94.5 meV per atom
Spin magnetization: 0.0 μB/f.u.
Energy relative to the elements, uncorrected: 155 kJ/mol of formula units


Compound: CaY2SnO6
Source: Alexandria via LeMat-Bulk
Functional: PBE
Structure: optimized geometry

```
10
Lattice="2.866 1.655 5.039 -2.866 1.655 5.039 0.000 -3.310 5.039" Properties=species:S:1:pos:R:3 pbc="T T T"
Ca 0.000 0.000 0.000
Y 0.000 0.000 4.205
Y 0.000 0.000 11.814
Sn 0.000 0.000 7.384
O -1.605 -0.019 5.946
O -1.077 -1.509 8.367
O 0.819 -1.381 5.946
O -0.768 1.687 8.367
O 0.786 1.400 5.946
O 1.845 -0.179 8.367
```

Output
Spin magnetization: 0.0 μB/f.u.
Energy relative to the elements, uncorrected: -2759 kJ/mol of formula units


Compound: Re3AgTe
Source: Alexandria via LeMat-Bulk
Functional: PBE
Structure: optimized geometry

```
5
Lattice="4.822 0.000 0.000 0.000 4.822 0.000 0.000 0.000 4.822" Properties=species:S:1:pos:R:3 pbc="T T T"
Re 0.000 0.000 2.411
Re 0.000 2.411 0.000
Re 2.411 0.000 0.000
Ag 2.411 2.411 2.411
Te 0.000 0.000 0.000
```

Output
Energy above the most stable polymorph in this dataset: 0.0 meV per atom
Spin magnetization: 0.3 μB/f.u.
Energy relative to the elements, uncorrected: 1237 kJ/mol of formula units


Compound: Pm3Nd2Sm4
Source: Alexandria via LeMat-Bulk
Functional: PBE
Structure: optimized geometry

```
9
Lattice="3.652 0.000 0.000 -1.826 3.163 0.000 0.000 0.000 27.125" Properties=species:S:1:pos:R:3 pbc="T T T"
Pm 0.000 0.000 0.000
Pm 0.000 0.000 9.226
Pm 1.826 1.054 18.138
Nd 1.826 1.054 2.902
Nd 1.826 1.054 24.053
Sm 0.000 0.000 15.160
Sm 0.000 0.000 21.103
Sm 1.826 1.054 6.365
Sm 1.826 1.054 12.257
```

Output
Energy above the most stable polymorph in this dataset: 0.0 meV per atom
Spin magnetization: 0.0 μB/f.u.


Compound: Sr2AlSbRh
Source: Alexandria via LeMat-Bulk
Functional: PBE
Structure: optimized geometry

```
5
Lattice="6.016 0.000 0.000 0.000 6.016 0.000 0.000 0.000 4.459" Properties=species:S:1:pos:R:3 pbc="T T T"
Sr 0.000 3.008 0.000
Sr 3.008 0.000 0.000
Al 0.000 0.000 0.000
Sb 3.008 3.008 2.230
Rh 0.000 0.000 2.230
```

Output
Spin magnetization: 0.0 μB/f.u.
Energy relative to the elements, uncorrected: -54 kJ/mol of formula units


Compound: BeTl2Te
Source: Alexandria via LeMat-Bulk
Functional: PBE
Structure: optimized geometry

```
4
Lattice="4.286 0.000 0.000 0.000 4.286 0.000 0.000 0.000 5.893" Properties=species:S:1:pos:R:3 pbc="T T T"
Be 0.000 0.000 0.000
Tl 0.000 2.143 2.946
Tl 2.143 0.000 2.946
Te 2.143 2.143 0.000
```

Output
Energy above the most stable polymorph in this dataset: 429.1 meV per atom
Spin magnetization: 0.0 μB/f.u.
Energy relative to the elements, uncorrected: 172 kJ/mol of formula units


Compound: Hg2SbAu
Source: Alexandria via LeMat-Bulk
Functional: PBE
Structure: optimized geometry

```
8
Lattice="3.034 0.000 0.000 0.000 5.570 0.000 0.000 0.000 11.253" Properties=species:S:1:pos:R:3 pbc="T T T"
Hg 0.000 0.000 2.624
Hg 0.000 0.000 8.629
Hg 1.517 2.785 3.003
Hg 1.517 2.785 8.250
Sb 0.000 2.785 0.000
Sb 1.517 0.000 5.626
Au 0.000 2.785 5.626
Au 1.517 0.000 0.000
```

Output
Spin magnetization: 0.0 μB/f.u.
Energy relative to the elements, uncorrected: 60 kJ/mol of formula units


Compound: Ca5PuSb4
Source: Alexandria via LeMat-Bulk
Functional: PBE
Structure: optimized geometry

```
10
Lattice="9.986 -2.362 0.000 9.986 2.362 0.000 -3.628 0.000 7.709" Properties=species:S:1:pos:R:3 pbc="T T T"
Ca 0.000 0.000 0.000
Ca 6.269 0.000 0.803
Ca 4.608 0.000 4.324
Ca 11.736 0.000 3.385
Ca 10.075 0.000 6.906
Pu -1.814 0.000 3.854
Sb 1.578 0.000 5.456
Sb 9.095 0.000 1.900
Sb 7.249 0.000 5.809
Sb 14.766 0.000 2.253
```

Output
Spin magnetization: 6.0 μB/f.u.
Energy relative to the elements, uncorrected: -774 kJ/mol of formula units


Compound: IrBr
Source: Alexandria via LeMat-Bulk
Functional: PBE
Structure: optimized geometry

```
8
Lattice="3.761 0.000 0.000 0.000 3.761 0.000 0.000 0.000 10.260" Properties=species:S:1:pos:R:3 pbc="T T T"
Ir 0.000 0.940 3.848
Ir 0.000 2.821 6.413
Ir 1.880 0.940 1.283
Ir 1.880 2.821 8.978
Br 0.000 0.940 8.978
Br 0.000 2.821 1.283
Br 1.880 0.940 6.413
Br 1.880 2.821 3.848
```

Output
Energy above the most stable polymorph in this dataset: 1095.7 meV per atom
Spin magnetization: 0.0 μB/f.u.
Energy relative to the elements, uncorrected: 263 kJ/mol of formula units


In order of appearance, raw total energy = -5.82, -4.45, -2.04, -9.81, -7.73, -6.10, -4.68, -3.83, -2.46, -1.85, -4.88, -3.90 eV per atom.